Entry from Alexandria via LeMat-Bulk: crystalline Al4V5Cr at its relaxed geometry (PBE).

Calculated values
- SG: I4mm (107)
- Calculated formation energy: 170 meV/atom

The structure in CIF format:
```
data_Al4V5Cr
_chemical_formula_sum 'Al4 V5 Cr1'
_space_group_name_H-M_alt 'P 1'
_space_group_IT_number 1
_space_group_name_Hall 'P 1'
_cell_length_a 6.365
_cell_length_b 6.365
_cell_length_c 6.365
_cell_angle_alpha 96.42
_cell_angle_beta 96.42
_cell_angle_gamma 140.93
loop_
_atom_site_label
_atom_site_fract_x
_atom_site_fract_y
_atom_site_fract_z
Al1 0.000 0.311 0.311
Al2 0.000 0.689 0.689
Al3 0.311 0.000 0.311
Al4 0.689 0.000 0.689
V1 0.223 0.223 0.000
V2 0.317 0.317 0.621
V3 0.317 0.697 0.000
V4 0.697 0.317 0.000
V5 0.697 0.697 0.379
Cr1 0.695 0.695 0.000
```



Entry from Alexandria via LeMat-Bulk: crystalline Rb2AcAg at its relaxed geometry (PBE).

Calculated values
- SG: R-3m (166)
- Calculated formation energy: 355 meV/atom

The structure in CIF format:
```
data_Rb2AcAg
_chemical_formula_sum 'Rb6 Ac3 Ag3'
_space_group_name_H-M_alt 'P 1'
_space_group_IT_number 1
_space_group_name_Hall 'P 1'
_cell_length_a 4.135
_cell_length_b 4.135
_cell_length_c 39.985
_cell_angle_alpha 90.00
_cell_angle_beta 90.00
_cell_angle_gamma 120.00
loop_
_atom_site_label
_atom_site_fract_x
_atom_site_fract_y
_atom_site_fract_z
Rb1 0.000 0.000 0.103
Rb2 0.000 0.000 0.897
Rb3 0.333 0.667 0.564
Rb4 0.333 0.667 0.770
Rb5 0.667 0.333 0.230
Rb6 0.667 0.333 0.436
Ac1 0.000 0.000 0.000
Ac2 0.333 0.667 0.667
Ac3 0.667 0.333 0.333
Ag1 0.000 0.000 0.500
Ag2 0.333 0.667 0.167
Ag3 0.667 0.333 0.833
```



Entry from Alexandria via LeMat-Bulk: crystalline Sr2CaAs at its relaxed geometry (PBE).

Calculated values
- SG: I4/mmm (139)
- Calculated formation energy: -288 meV/atom

The structure in CIF format:
```
data_Sr2CaAs
_chemical_formula_sum 'Sr4 Ca2 As2'
_space_group_name_H-M_alt 'P 1'
_space_group_IT_number 1
_space_group_name_Hall 'P 1'
_cell_length_a 4.969
_cell_length_b 4.969
_cell_length_c 10.900
_cell_angle_alpha 90.00
_cell_angle_beta 90.00
_cell_angle_gamma 90.00
loop_
_atom_site_label
_atom_site_fract_x
_atom_site_fract_y
_atom_site_fract_z
Sr1 0.000 0.500 0.250
Sr2 0.000 0.500 0.750
Sr3 0.500 0.000 0.250
Sr4 0.500 0.000 0.750
Ca1 0.000 0.000 0.000
Ca2 0.500 0.500 0.500
As1 0.000 0.000 0.500
As2 0.500 0.500 0.000
```



Entry from Alexandria via LeMat-Bulk: crystalline LaAg12 at its relaxed geometry (PBE).

Calculated values
- SG: Fm-3m (225)
- Calculated formation energy: 554 meV/atom
- Energy relative to the lowest polymorph listed for this composition: 601.8 meV per atom

The structure in CIF format:
```
data_LaAg12
_chemical_formula_sum 'La1 Ag12'
_space_group_name_H-M_alt 'P 1'
_space_group_IT_number 1
_space_group_name_Hall 'P 1'
_cell_length_a 8.063
_cell_length_b 8.063
_cell_length_c 8.063
_cell_angle_alpha 60.00
_cell_angle_beta 60.00
_cell_angle_gamma 60.00
loop_
_atom_site_label
_atom_site_fract_x
_atom_site_fract_y
_atom_site_fract_z
La1 0.000 0.000 0.000
Ag1 0.162 0.500 0.500
Ag2 0.162 0.500 0.838
Ag3 0.162 0.838 0.500
Ag4 0.500 0.162 0.500
Ag5 0.500 0.162 0.838
Ag6 0.500 0.500 0.162
Ag7 0.500 0.500 0.838
Ag8 0.500 0.838 0.162
Ag9 0.500 0.838 0.500
Ag10 0.838 0.162 0.500
Ag11 0.838 0.500 0.162
Ag12 0.838 0.500 0.500
```



Entry from Alexandria via LeMat-Bulk: crystalline LiPaSb2O8 at its relaxed geometry (PBE).

Calculated values
- SG: I-4 (82)
- Raw formation energy: -1.9893 eV per atom

The structure in CIF format:
```
data_LiPaSb2O8
_chemical_formula_sum 'Li1 Pa1 Sb2 O8'
_space_group_name_H-M_alt 'P 1'
_space_group_IT_number 1
_space_group_name_Hall 'P 1'
_cell_length_a 6.609
_cell_length_b 6.609
_cell_length_c 6.609
_cell_angle_alpha 133.45
_cell_angle_beta 133.45
_cell_angle_gamma 67.94
loop_
_atom_site_label
_atom_site_fract_x
_atom_site_fract_y
_atom_site_fract_z
Li1 0.000 0.000 0.000
Pa1 0.750 0.250 0.500
Sb1 0.250 0.750 0.500
Sb2 0.500 0.500 0.000
O1 0.088 0.642 0.053
O2 0.153 0.220 0.562
O3 0.358 0.411 0.447
O4 0.409 0.847 0.067
O5 0.589 0.036 0.947
O6 0.658 0.591 0.438
O7 0.780 0.342 0.933
O8 0.964 0.912 0.553
```



Entry from Alexandria via LeMat-Bulk: crystalline Ta2Ru at its relaxed geometry (PBE).

Calculated values
- SG: Fm-3m (225)
- Calculated formation energy: 187 meV/atom

The structure in CIF format:
```
data_Ta2Ru
_chemical_formula_sum 'Ta8 Ru4'
_space_group_name_H-M_alt 'P 1'
_space_group_IT_number 1
_space_group_name_Hall 'P 1'
_cell_length_a 6.167
_cell_length_b 6.167
_cell_length_c 6.167
_cell_angle_alpha 90.00
_cell_angle_beta 90.00
_cell_angle_gamma 90.00
loop_
_atom_site_label
_atom_site_fract_x
_atom_site_fract_y
_atom_site_fract_z
Ta1 0.250 0.250 0.250
Ta2 0.250 0.250 0.750
Ta3 0.250 0.750 0.250
Ta4 0.250 0.750 0.750
Ta5 0.750 0.250 0.250
Ta6 0.750 0.250 0.750
Ta7 0.750 0.750 0.250
Ta8 0.750 0.750 0.750
Ru1 0.000 0.000 0.000
Ru2 0.000 0.500 0.500
Ru3 0.500 0.000 0.500
Ru4 0.500 0.500 0.000
```



Entry from Alexandria via LeMat-Bulk: crystalline AcTm3In2 at its relaxed geometry (PBE).

Calculated values
- SG: C2/m (12)
- Calculated formation energy: -216 meV/atom

The structure in CIF format:
```
data_AcTm3In2
_chemical_formula_sum 'Ac2 Tm6 In4'
_space_group_name_H-M_alt 'P 1'
_space_group_IT_number 1
_space_group_name_Hall 'P 1'
_cell_length_a 9.626
_cell_length_b 9.626
_cell_length_c 9.390
_cell_angle_alpha 118.50
_cell_angle_beta 118.50
_cell_angle_gamma 30.54
loop_
_atom_site_label
_atom_site_fract_x
_atom_site_fract_y
_atom_site_fract_z
Ac1 0.139 0.139 0.072
Ac2 0.861 0.861 0.928
Tm1 0.047 0.047 0.384
Tm2 0.312 0.312 0.569
Tm3 0.401 0.401 0.317
Tm4 0.599 0.599 0.683
Tm5 0.688 0.688 0.431
Tm6 0.953 0.953 0.616
In1 0.207 0.207 0.743
In2 0.490 0.490 0.841
In3 0.510 0.510 0.159
In4 0.793 0.793 0.257
```